Arrangement A

An optimized crystal structure of CsNiMoAu, computed with PBE.

Cell: 4.7549 4.7549 4.7549 Å, 60.00 60.00 60.00°
Last column: nearest neighbours and their distance in Å.
Positions (direct):
1 Au 0.7500 0.7500 0.7500  4 Mo 2.91, 4 Ni 2.91
2 Cs 0.2500 0.2500 0.2500  4 Mo 2.91, 4 Ni 2.91
3 Ni 0.5000 0.5000 0.5000  4 Au 2.91, 4 Cs 2.91
4 Mo 0.0000 0.0000 0.0000  4 Cs 2.91, 4 Au 2.91

Arrangement B

An optimized crystal structure of CsNiMoAu, computed with PBE.

Cell: 4.9428 4.9428 4.9428 Å, 60.00 60.00 60.00°
Last column: nearest neighbours and their distance in Å.
Positions (direct):
1 Cs 0.0000 0.0000 0.0000  4 Au 3.03, 4 Mo 3.03
2 Ni 0.5000 0.5000 0.5000  4 Au 3.03, 4 Mo 3.03
3 Mo 0.2500 0.2500 0.2500  4 Ni 3.03, 4 Cs 3.03
4 Au 0.7500 0.7500 0.7500  4 Ni 3.03, 4 Cs 3.03

Most stable structure: arrangement A

Arrangement A

An optimized crystal structure of CsNaPAu, computed with PBE.

Cell: 6.2753 5.8951 6.7666 Å, 90.00 100.54 90.00°
Last column: nearest neighbours and their distance in Å.
Positions (direct):
1 P 0.7306 0.2500 0.8085  2 Au 2.43
2 Na 0.4422 0.2500 0.0923  1 P 2.87, 2 Au 3.10
3 Cs 0.1995 0.2500 0.5317  4 P 3.51-3.81, 2 Na 3.58-3.82, 2 Cs 3.84, 4 Au 3.88-3.90
4 Au 0.0000 0.0000 0.0000  2 P 2.43
5 Na 0.5578 0.7500 0.9077  1 P 2.87, 2 Au 3.10
6 P 0.2694 0.7500 0.1915  2 Au 2.43
7 Au 0.0000 0.5000 0.0000  2 P 2.43
8 Cs 0.8005 0.7500 0.4683  4 P 3.51-3.81, 2 Na 3.58-3.82, 2 Cs 3.84, 4 Au 3.88-3.90

Arrangement B

An optimized crystal structure of CsNaPAu, computed with PBE.

Cell: 6.6141 6.2669 6.2669 Å, 109.29 90.00 90.00°
Last column: nearest neighbours and their distance in Å.
Positions (direct):
1 Au 0.2613 0.4872 0.4872  2 P 2.39-2.42
2 Na 0.5000 0.9871 0.3335  2 Au 3.35, 2 P 3.39-3.53, 1 Na 3.54
3 Au 0.7387 0.4872 0.4872  2 P 2.39-2.42
4 Cs 0.0000 0.6794 0.0269  2 P 3.40-3.44, 1 Cs 3.55, 2 Au 3.63
5 P 0.5000 0.7399 0.7399  2 Au 2.42
6 Na 0.5000 0.3335 0.9871  2 Au 3.35, 2 P 3.39-3.53, 1 Na 3.54
7 Cs 0.0000 0.0269 0.6794  2 P 3.40-3.44, 1 Cs 3.55, 2 Au 3.63
8 P 0.0000 0.2587 0.2587  2 Au 2.39

Arrangement C

An optimized crystal structure of CsNaPAu, computed with PBE.

Cell: 6.7073 6.1956 6.1956 Å, 74.83 90.00 90.00°
Last column: nearest neighbours and their distance in Å.
Positions (direct):
1 Au 0.0000 0.4982 0.4982  2 P 2.41
2 Au 0.5000 0.4982 0.4982  2 P 2.41
3 Cs 0.7500 0.0214 0.3186  4 P 3.50-3.78, 1 Na 3.53, 4 Au 3.56-3.81
4 Na 0.7500 0.6564 0.9671  1 P 2.92
5 P 0.7500 0.2928 0.7474  2 Au 2.41
6 Cs 0.2500 0.3186 0.0214  4 P 3.50-3.78, 1 Na 3.53, 4 Au 3.56-3.81
7 Na 0.2500 0.9671 0.6564  1 P 2.92
8 P 0.2500 0.7474 0.2928  2 Au 2.41

Most stable structure: arrangement A